Record 1
A plane-wave DFT calculation with PBE-GGA was carried out for a geometry-optimized SmBeGa2Ru2 structure.

Lattice parameters (Å, degrees): 4.307 4.307 5.445 90.00 90.00 90.00
Fractional positions:
1 Ru 0.500 0.000 0.000
2 Be 0.000 0.000 0.000
3 Ga 0.500 0.500 0.260
4 Ga 0.500 0.500 0.740
5 Ru 0.000 0.500 0.000
6 Sm 0.000 0.000 0.500

Results
DOS at the Fermi energy: 2.10 states/eV per cell
Symmetry: P4/mmm
Energy: -35.771 eV/cell

***

Record 2
A plane-wave DFT calculation with PBE-GGA was carried out for a geometry-optimized Sm3BeGa2Ru3 structure.

Lattice parameters (Å, degrees): 3.829 7.172 7.172 120.00 90.00 90.00
Fractional positions:
1 Be 0.000 0.000 0.000
2 Ga 0.500 0.333 0.667
3 Ru 0.500 0.231 0.231
4 Sm 0.000 0.000 0.371
5 Ru 0.500 0.000 0.769
6 Ga 0.500 0.667 0.333
7 Ru 0.500 0.769 0.000
8 Sm 0.000 0.629 0.629
9 Sm 0.000 0.371 0.000

Results
DOS at the Fermi energy: 6.67 states/eV per cell
Symmetry: P-62m
Energy: -54.717 eV/cell

***

Record 3
A plane-wave DFT calculation with PBE-GGA was carried out for a geometry-optimized BeGa2SnRu structure.

Lattice parameters (Å, degrees): 5.214 4.316 5.214 90.00 90.00 90.00
Site moments in Bohr magnetons follow the coordinates.
Fractional positions:
1 Sn 0.000 0.000 0.000  0.01
2 Ga 0.000 0.000 0.500  -0.01
3 Ru 0.500 0.500 0.500  2.10
4 Be 0.000 0.500 0.000  -0.02
5 Ga 0.500 0.000 0.000  -0.02

Results
DOS at the Fermi energy: 4.59 states/eV per cell
Symmetry: P4/mmm
Energy: -15.964 eV/cell

***

Record 4
A plane-wave DFT calculation with PBE-GGA was carried out for a geometry-optimized SrBeGa2Ru structure.

Lattice parameters (Å, degrees): 4.781 4.781 4.508 90.00 90.00 90.00
Fractional positions:
1 Be 0.000 0.000 0.500
2 Ga 0.500 0.000 0.000
3 Ru 0.000 0.000 0.000
4 Sr 0.500 0.500 0.500
5 Ga 0.000 0.500 0.000

Results
DOS at the Fermi energy: 2.14 states/eV per cell
Symmetry: P4/mmm
Energy: -22.107 eV/cell

***

Record 5
A plane-wave DFT calculation with PBE-GGA was carried out for a geometry-optimized Ta2Be2GaRu5 structure.

Lattice parameters (Å, degrees): 3.135 9.263 9.263 90.00 90.00 90.00
Fractional positions:
1 Ta 0.000 0.675 0.175
2 Ru 0.500 0.208 0.073
3 Be 0.000 0.876 0.376
4 Ta 0.000 0.175 0.325
5 Ga 0.000 0.500 0.500
6 Ru 0.500 0.708 0.427
7 Be 0.000 0.376 0.124
8 Ga 0.000 0.000 0.000
9 Ru 0.500 0.292 0.573
10 Ru 0.500 0.000 0.500
11 Ta 0.000 0.825 0.675
12 Be 0.000 0.124 0.624
13 Ru 0.500 0.927 0.208
14 Be 0.000 0.624 0.876
15 Ru 0.500 0.573 0.708
16 Ru 0.500 0.500 0.000
17 Ta 0.000 0.325 0.825
18 Ru 0.500 0.792 0.927
19 Ru 0.500 0.073 0.792
20 Ru 0.500 0.427 0.292

Results
DOS at the Fermi energy: 16.66 states/eV per cell
Symmetry: P4/mbm
Energy: -168.991 eV/cell

***

Record 6
A plane-wave DFT calculation with PBE-GGA was carried out for a geometry-optimized Tb3BeGa2Ru3 structure.

Lattice parameters (Å, degrees): 3.729 7.117 7.117 120.00 90.00 90.00
Fractional positions:
1 Be 0.000 0.000 0.000
2 Ru 0.500 0.000 0.764
3 Tb 0.000 0.629 0.629
4 Ru 0.500 0.236 0.236
5 Ru 0.500 0.764 0.000
6 Tb 0.000 0.371 0.000
7 Ga 0.500 0.667 0.333
8 Ga 0.500 0.333 0.667
9 Tb 0.000 0.000 0.371

Results
DOS at the Fermi energy: 6.59 states/eV per cell
Symmetry: P-62m
Energy: -55.199 eV/cell

***

Record 7
A plane-wave DFT calculation with PBE-GGA was carried out for a geometry-optimized TbBeGa2Ru2 structure.

Lattice parameters (Å, degrees): 4.294 4.294 5.385 90.00 90.00 90.00
Fractional positions:
1 Tb 0.000 0.000 0.500
2 Ru 0.000 0.500 0.000
3 Ga 0.500 0.500 0.737
4 Ru 0.500 0.000 0.000
5 Be 0.000 0.000 0.000
6 Ga 0.500 0.500 0.263

Results
DOS at the Fermi energy: 1.82 states/eV per cell
Symmetry: P4/mmm
Energy: -35.646 eV/cell

***

Record 8
A plane-wave DFT calculation with PBE-GGA was carried out for a geometry-optimized BeGa2TcRu structure.

Lattice parameters (Å, degrees): 4.218 4.100 4.218 90.00 90.00 90.00
Fractional positions:
1 Ga 0.500 0.000 0.000
2 Be 0.000 0.000 0.000
3 Ga 0.000 0.000 0.500
4 Tc 0.000 0.500 0.000
5 Ru 0.500 0.500 0.500

Results
DOS at the Fermi energy: 4.84 states/eV per cell
Symmetry: P4/mmm
Energy: -26.245 eV/cell

***

Calculated values (g/cm³) of theoretical density for the records, taken in order: 8.24, 8.79, 5.21, 5.43, 11.79, 9.42, 8.52, 7.91.